DFT (GGA-PBEsol) results for an optimized crystal structure of Er2Ga8Fe.

a b c (Å): 4.1328 4.1328 10.9252
angles (deg): 90.00 90.00 90.00
Element x y z (fractional)
1 Er 0.0000 0.0000 0.1937
2 Er 0.0000 0.0000 0.8063
3 Ga 0.0000 0.5000 0.0000
4 Ga 0.0000 0.5000 0.3834
5 Ga 0.0000 0.5000 0.6166
6 Ga 0.5000 0.0000 0.0000
7 Ga 0.5000 0.0000 0.3834
8 Ga 0.5000 0.0000 0.6166
9 Ga 0.5000 0.5000 0.1944
10 Ga 0.5000 0.5000 0.8056
11 Fe 0.0000 0.0000 0.5000

Values from the calculation:
space group = No. 123
ΔH_f (0 K) = -0.50 eV per atom


DFT (GGA-PBEsol) results for an optimized crystal structure of Er3FeGe3.

a b c (Å): 5.5064 5.5064 13.1920
angles (deg): 90.00 90.00 137.30
Element x y z (fractional)
1 Er 0.0023 0.9977 0.7500
2 Er 0.2860 0.7140 0.6005
3 Er 0.2860 0.7140 0.8995
4 Er 0.7140 0.2860 0.1005
5 Er 0.7140 0.2860 0.3995
6 Er 0.9977 0.0023 0.2500
7 Fe 0.0000 0.0000 0.0000
8 Fe 0.0000 0.0000 0.5000
9 Ge 0.2760 0.7240 0.2500
10 Ge 0.4307 0.5693 0.0909
11 Ge 0.4307 0.5693 0.4091
12 Ge 0.5693 0.4307 0.5909
13 Ge 0.5693 0.4307 0.9091
14 Ge 0.7240 0.2760 0.7500

Values from the calculation:
space group = No. 63
ΔH_f (0 K) = -0.72 eV per atom


DFT (GGA-PBEsol) results for an optimized crystal structure of Er2Fe17H3.

a b c (Å): 8.2671 8.2671 7.9628
angles (deg): 90.00 90.00 120.00
Element x y z (fractional)
1 Er 0.0000 0.0000 0.2500
2 Er 0.0000 0.0000 0.7500
3 Er 0.3333 0.6667 0.2500
4 Er 0.6667 0.3333 0.7500
5 Fe 0.0000 0.5000 0.0000
6 Fe 0.0000 0.5000 0.5000
7 Fe 0.0501 0.3780 0.7500
8 Fe 0.0501 0.6721 0.7500
9 Fe 0.1664 0.3328 0.0153
10 Fe 0.1664 0.3328 0.4847
11 Fe 0.1664 0.8336 0.0153
12 Fe 0.1664 0.8336 0.4847
13 Fe 0.3279 0.3780 0.7500
14 Fe 0.3279 0.9499 0.7500
15 Fe 0.3328 0.1664 0.5153
16 Fe 0.3328 0.1664 0.9847
17 Fe 0.3333 0.6667 0.6062
18 Fe 0.3333 0.6667 0.8938
19 Fe 0.3780 0.0501 0.2500
20 Fe 0.3780 0.3279 0.2500
21 Fe 0.5000 0.0000 0.0000
22 Fe 0.5000 0.0000 0.5000
23 Fe 0.5000 0.5000 0.0000
24 Fe 0.5000 0.5000 0.5000
25 Fe 0.6220 0.6721 0.7500
26 Fe 0.6220 0.9499 0.7500
27 Fe 0.6667 0.3333 0.1062
28 Fe 0.6667 0.3333 0.3938
29 Fe 0.6672 0.8336 0.0153
30 Fe 0.6672 0.8336 0.4847
31 Fe 0.6721 0.0501 0.2500
32 Fe 0.6721 0.6220 0.2500
33 Fe 0.8336 0.1664 0.5153
34 Fe 0.8336 0.1664 0.9847
35 Fe 0.8336 0.6672 0.5153
36 Fe 0.8336 0.6672 0.9847
37 Fe 0.9499 0.3279 0.2500
38 Fe 0.9499 0.6220 0.2500
39 H 0.1649 0.3298 0.2500
40 H 0.1649 0.8351 0.2500
41 H 0.3298 0.1649 0.7500
42 H 0.6702 0.8351 0.2500
43 H 0.8351 0.1649 0.7500
44 H 0.8351 0.6702 0.7500

Values from the calculation:
space group = No. 194
raw total energy = -7.901 eV per atom


DFT (GGA-PBEsol) results for an optimized crystal structure of Er12In3Fe2.

a b c (Å): 8.2138 8.2138 8.2138
angles (deg): 110.32 110.32 107.78
Element x y z (fractional)
1 Er 0.0349 0.7881 0.2468
2 Er 0.2119 0.4588 0.2468
3 Er 0.2119 0.9651 0.7532
4 Er 0.3022 0.3022 0.6045
5 Er 0.3022 0.6978 0.0000
6 Er 0.4588 0.2119 0.2468
7 Er 0.5412 0.7881 0.7532
8 Er 0.6978 0.3022 0.0000
9 Er 0.6978 0.6978 0.3955
10 Er 0.7881 0.0349 0.2468
11 Er 0.7881 0.5412 0.7532
12 Er 0.9651 0.2119 0.7532
13 In 0.0000 0.0000 0.0000
14 In 0.0000 0.5000 0.5000
15 In 0.5000 0.0000 0.5000
16 Fe 0.3904 0.3904 0.0000
17 Fe 0.6096 0.6096 0.0000

Values from the calculation:
space group = No. 139
ΔH_f (0 K) = -0.25 eV per atom